VASP calculation (PBE-GGA) on a relaxed structure of LaYCo8B2.

Unit cell a=5.055 b=5.055 c=6.868 alpha=90.00 beta=90.00 gamma=120.00
Positions (direct):
La1 0.000 0.000 0.000
Y1 0.000 0.000 0.500
Co1 0.500 0.500 0.708
Co2 0.500 0.000 0.708
Co3 0.000 0.500 0.708
Co4 0.500 0.500 0.292
Co5 0.500 0.000 0.292
Co6 0.000 0.500 0.292
Co7 0.667 0.333 0.000
Co8 0.333 0.667 0.000
B1 0.667 0.333 0.500
B2 0.333 0.667 0.500

Output
Total magnetization, Bohr magnetons per cell: 7.0
Theoretical density, Mg/m³: 7.9
SG: P6/mmm, No. 191
Uncorrected energy, eV per cell: -84.7